# 1
DFT (GGA-PBE) results for crystalline LaGeIN2 at its relaxed geometry.

a = 4.1857 Å, b = 8.0645 Å, c = 7.6276 Å
α = 117.94°, β = 90.00°, γ = 90.00°
Last column: nearest neighbours and their distance in Å.
Sites, in units of the cell vectors:
1 I 0.2500 0.9725 0.7322  1 Ge 3.05
2 N 0.2500 0.4494 0.5735  1 Ge 1.87
3 La 0.7500 0.3280 0.0397  4 N 2.41-2.64
4 N 0.7500 0.5036 0.8563  1 Ge 1.84
5 Ge 0.2500 0.5636 0.4097  2 N 1.84-1.87
6 N 0.2500 0.4964 0.1437  1 Ge 1.84
7 N 0.7500 0.5506 0.4265  1 Ge 1.87
8 I 0.7500 0.0275 0.2678  1 Ge 3.05
9 La 0.2500 0.6720 0.9603  4 N 2.41-2.64
10 Ge 0.7500 0.4364 0.5903  2 N 1.84-1.87

Computed properties:
Energy above the most stable polymorph in this dataset in eV/atom: 0.0000
Theoretical density in kg/m3: 5351
Crystal system: monoclinic
Raw formation energy in meV per atom: -662.9



# 2
DFT (GGA-PBE) results for crystalline LaGeIN2 at its relaxed geometry.

a = 4.2645 Å, b = 4.2645 Å, c = 5.2843 Å
α = 90.00°, β = 90.00°, γ = 90.00°
Last column: nearest neighbours and their distance in Å.
Sites, in units of the cell vectors:
1 La 0.5000 0.5000 0.5000  4 I 3.02
2 N 0.0000 0.5000 0.0000  2 Ge 2.13
3 Ge 0.0000 0.0000 0.0000  4 N 2.13
4 I 0.0000 0.0000 0.5000  2 Ge 2.64
5 N 0.5000 0.0000 0.0000  2 Ge 2.13

Computed properties:
Energy above the most stable polymorph in this dataset in eV/atom: 1.2601
DOS(E_F) in states/eV per atom: 0.4414
Theoretical density in kg/m3: 6332
Crystal system: tetragonal
Raw formation energy in meV per atom: 597.1



# 3
DFT (GGA-PBE) results for crystalline La6Ge2I3N at its relaxed geometry.

a = 7.3414 Å, b = 7.3414 Å, c = 8.3013 Å
α = 98.48°, β = 98.48°, γ = 119.89°
Last column: nearest neighbours and their distance in Å.
Sites, in units of the cell vectors:
1 I 0.1755 0.8245 0.5000  6 La 3.41-3.58
2 La 0.6366 0.9380 0.8124  1 N 2.67, 2 Ge 2.98
3 La 0.2372 0.2372 0.8084  1 N 2.68, 2 Ge 2.98
4 La 0.9380 0.6366 0.8124  1 N 2.67, 2 Ge 2.98
5 N 0.0000 0.0000 0.0000  6 La 2.67-2.68
6 I 0.8245 0.1755 0.5000  6 La 3.41-3.58
7 Ge 0.6656 0.3344 0.0000  6 La 2.98
8 La 0.3634 0.0620 0.1876  1 N 2.67, 2 Ge 2.98
9 La 0.7628 0.7628 0.1916  1 N 2.68, 2 Ge 2.98
10 La 0.0620 0.3634 0.1876  1 N 2.67, 2 Ge 2.98
11 I 0.5000 0.5000 0.5000  6 La 3.41-3.63
12 Ge 0.3344 0.6656 0.0000  6 La 2.98

Computed properties:
DOS(E_F) in states/eV per atom: 0.5552
Theoretical density in kg/m3: 6152
Crystal system: monoclinic
Raw formation energy in meV per atom: -1124.2



# 4
DFT (GGA-PBE) results for crystalline LaGeIN2 at its relaxed geometry.

a = 4.4053 Å, b = 4.4053 Å, c = 6.5083 Å
α = 90.00°, β = 90.00°, γ = 90.00°
Last column: nearest neighbours and their distance in Å.
Sites, in units of the cell vectors:
1 N 0.0000 0.5000 0.0000  2 La 2.20
2 I 0.0000 0.0000 0.5000  4 Ge 3.12, 2 La 3.25
3 La 0.0000 0.0000 0.0000  4 N 2.20
4 N 0.5000 0.0000 0.0000  2 La 2.20
5 Ge 0.5000 0.5000 0.5000  4 I 3.12

Computed properties:
Energy above the most stable polymorph in this dataset in eV/atom: 1.4161
DOS(E_F) in states/eV per atom: 0.5549
Theoretical density in kg/m3: 4818
Crystal system: tetragonal
Raw formation energy in meV per atom: 753.2



# 5
DFT (GGA-PBE) results for crystalline LaNbGe2I at its relaxed geometry.

a = 4.9791 Å, b = 5.6089 Å, c = 4.9791 Å
α = 90.00°, β = 90.00°, γ = 90.00°
Last column: nearest neighbours and their distance in Å.
Sites, in units of the cell vectors:
1 La 0.5000 0.5000 0.5000  4 I 3.52, 8 Ge 3.75
2 Ge 0.5000 0.0000 0.0000  2 Nb 2.49
3 I 0.0000 0.5000 0.0000  2 Nb 2.80
4 Nb 0.0000 0.0000 0.0000  4 Ge 2.49
5 Ge 0.0000 0.0000 0.5000  2 Nb 2.49

Computed properties:
DOS(E_F) in states/eV per atom: 0.5956
Theoretical density in kg/m3: 6019
Crystal system: tetragonal
Raw formation energy in meV per atom: -96.9



# 6
DFT (GGA-PBE) results for crystalline La8Ni3GeI4 at its relaxed geometry.

a = 8.4771 Å, b = 9.4818 Å, c = 8.6424 Å
α = 117.35°, β = 119.37°, γ = 90.00°
Last column: nearest neighbours and their distance in Å.
Sites, in units of the cell vectors:
1 Ge 0.0000 0.5000 0.0000  6 La 2.98-3.03
2 Ni 0.5000 0.5000 0.0000  6 La 2.84-3.00
3 La 0.7204 0.6934 0.9636  2 Ni 2.84-2.97, 1 Ge 2.98
4 La 0.2796 0.3066 0.0364  2 Ni 2.84-2.97, 1 Ge 2.98
5 La 0.2655 0.3131 0.5310  3 Ni 2.85-3.00
6 La 0.2366 0.6897 0.4731  2 Ni 2.86, 1 Ge 3.03
7 La 0.7568 0.3066 0.0364  2 Ni 2.84-2.97, 1 Ge 2.98
8 I 0.5000 0.0000 0.5000  6 La 3.52-3.55
9 I 0.0000 0.0000 0.0000  6 La 3.51-3.55
10 La 0.7634 0.3103 0.5269  2 Ni 2.86, 1 Ge 3.03
11 Ni 0.5000 0.5000 0.5000  6 La 2.85-2.97
12 La 0.7345 0.6869 0.4690  3 Ni 2.85-3.00
13 La 0.2432 0.6934 0.9636  2 Ni 2.84-2.97, 1 Ge 2.98
14 I 0.5000 0.0000 0.0000  6 La 3.43-3.48
15 Ni 0.0000 0.5000 0.5000  6 La 2.85-2.97
16 I 0.0000 0.0000 0.5000  6 La 3.52-3.55

Computed properties:
DOS(E_F) in states/eV per atom: 1.0115
Theoretical density in kg/m3: 6029
Crystal system: monoclinic
Raw formation energy in meV per atom: -779.1



# 7
DFT (GGA-PBE) results for crystalline LaGeI2O at its relaxed geometry.

a = 6.0493 Å, b = 6.0493 Å, c = 3.8805 Å
α = 90.00°, β = 90.00°, γ = 90.00°
Last column: nearest neighbours and their distance in Å.
Sites, in units of the cell vectors:
1 O 0.0000 0.0000 0.5000  2 Ge 1.94
2 I 0.5000 0.0000 0.0000  2 Ge 3.02
3 La 0.5000 0.5000 0.5000  8 I 3.59, 2 La 3.88
4 Ge 0.0000 0.0000 0.0000  2 O 1.94
5 I 0.0000 0.5000 0.0000  2 Ge 3.02

Computed properties:
Energy above the most stable polymorph in this dataset in eV/atom: 0.2943
DOS(E_F) in states/eV per atom: 0.7920
Theoretical density in kg/m3: 5629
Crystal system: tetragonal
Raw formation energy in meV per atom: -707.7



# 8
DFT (GGA-PBE) results for crystalline LaGeIO2 at its relaxed geometry.

a = 4.4482 Å, b = 4.4482 Å, c = 6.9709 Å
α = 90.00°, β = 90.00°, γ = 90.00°
Last column: nearest neighbours and their distance in Å.
Sites, in units of the cell vectors:
1 O 0.5000 0.0000 0.0000  2 La 2.22
2 Ge 0.5000 0.5000 0.5000  4 I 3.15
3 I 0.0000 0.0000 0.5000  4 Ge 3.15, 2 La 3.49
4 La 0.0000 0.0000 0.0000  4 O 2.22
5 O 0.0000 0.5000 0.0000  2 La 2.22

Computed properties:
Energy above the most stable polymorph in this dataset in eV/atom: 0.0000
DOS(E_F) in states/eV per atom: 1.0580
Theoretical density in kg/m3: 4460
Crystal system: tetragonal
Raw formation energy in meV per atom: -1050.0